No. 1
Here is a relaxed structure of BaTl12Bi6 from Alexandria via LeMat-Bulk. Energies are from PBE.

Computed properties:
- Energy of formation from the pure elements: -46.2 meV per atom
- Calculated volume: 656.1 Å³/f.u.
- Energy: -108.962 eV/cell

Structure (CIF):
```
data_BaTl12Bi6
_chemical_formula_sum 'Ba2 Tl24 Bi12'
_cell_length_a 10.948
_cell_length_b 10.948
_cell_length_c 10.948
_cell_angle_alpha 90.00
_cell_angle_beta 90.00
_cell_angle_gamma 90.00
_space_group_name_H-M_alt 'I m -3'
_space_group_IT_number 204
_space_group_name_Hall '-I 2 2 3'
loop_
_atom_site_label
_atom_site_type_symbol
_atom_site_fract_x
_atom_site_fract_y
_atom_site_fract_z
Ba1 Ba 0.000 0.000 0.000
Tl1 Tl 0.000 0.207 0.258
Bi1 Bi 0.000 0.360 0.500
```

---

No. 2
Here is a relaxed structure of LiTcN2O from Alexandria via LeMat-Bulk. Energies are from PBE.

Computed properties:
- ΔE_f (raw): 1.286 eV per atom
- Calculated volume: 44.8 Å³/f.u.
- Energy: -27.459 eV/cell

Structure (CIF):
```
data_LiTcN2O
_chemical_formula_sum 'Li1 Tc1 N2 O1'
_cell_length_a 3.644
_cell_length_b 3.644
_cell_length_c 3.375
_cell_angle_alpha 90.00
_cell_angle_beta 90.00
_cell_angle_gamma 90.00
_space_group_name_H-M_alt 'P 4/m m m'
_space_group_IT_number 123
_space_group_name_Hall '-P 4 2'
loop_
_atom_site_label
_atom_site_type_symbol
_atom_site_fract_x
_atom_site_fract_y
_atom_site_fract_z
Li1 Li 0.000 0.000 0.000
Tc1 Tc 0.500 0.500 0.500
N1 N 0.000 0.500 0.000
O1 O 0.000 0.000 0.500
```

---

No. 3
Here is a relaxed structure of SrPtCl2 from Alexandria via LeMat-Bulk. Energies are from PBE.

Computed properties:
- ΔE_f (raw): -1.126 eV per atom
- Offset from the most stable computed form: 199 meV per atom
- Calculated volume: 132.5 Å³/f.u.
- Energy: -47.755 eV/cell

Structure (CIF):
```
data_SrPtCl2
_chemical_formula_sum 'Sr3 Pt3 Cl6'
_cell_length_a 5.0248
_cell_length_b 5.0248
_cell_length_c 18.1765
_cell_angle_alpha 90.00
_cell_angle_beta 90.00
_cell_angle_gamma 120.00
_space_group_name_H-M_alt 'R -3 m'
_space_group_IT_number 166
_space_group_name_Hall '-R 3 2"'
loop_
_atom_site_label
_atom_site_type_symbol
_atom_site_fract_x
_atom_site_fract_y
_atom_site_fract_z
Sr1 Sr 0.0000 0.0000 0.0000
Pt1 Pt 0.0000 0.0000 0.5000
Cl1 Cl 0.0000 0.0000 0.3762
```

---

No. 4
Here is a relaxed structure of In2CuBi2Au7 from Alexandria via LeMat-Bulk. Energies are from PBE.

Computed properties:
- Energy of formation from the pure elements: -12.7 meV per atom
- Calculated volume: 266.3 Å³/f.u.
- Energy: -80.857 eV/cell

Structure (CIF):
```
data_In2CuBi2Au7
_chemical_formula_sum 'In4 Cu2 Bi4 Au14'
_cell_length_a 5.919
_cell_length_b 5.885
_cell_length_c 15.339
_cell_angle_alpha 90.00
_cell_angle_beta 94.59
_cell_angle_gamma 90.00
_space_group_name_H-M_alt 'C 1 2/m 1'
_space_group_IT_number 12
loop_
_space_group_symop_operation_xyz
'x,y,z'
'-x,-y,-z'
'-x,y,-z'
'x,-y,z'
'x+1/2,y+1/2,z'
'-x+1/2,-y+1/2,-z'
'-x+1/2,y+1/2,-z'
'x+1/2,-y+1/2,z'
loop_
_atom_site_label
_atom_site_type_symbol
_atom_site_fract_x
_atom_site_fract_y
_atom_site_fract_z
In1 In 0.056 0.000 0.256
Cu1 Cu 0.000 0.500 0.000
Bi1 Bi 0.134 0.500 0.388
Au1 Au 0.000 0.000 0.000
Au2 Au 0.163 0.000 0.435
Au3 Au 0.222 0.250 0.871
```

---

No. 5
Here is a relaxed structure of Ca from Alexandria via LeMat-Bulk. Energies are from PBE.

Computed properties:
- Offset from the most stable computed form: 2 meV per atom
- Energy of formation from the pure elements: 2.2 meV per atom
- Calculated volume: 42.1 Å³/f.u.
- Energy: -15.995 eV/cell

Structure (CIF):
```
data_Ca
_chemical_formula_sum 'Ca8'
_cell_length_a 6.708
_cell_length_b 3.921
_cell_length_c 12.988
_cell_angle_alpha 90.00
_cell_angle_beta 99.54
_cell_angle_gamma 90.00
_space_group_name_H-M_alt 'C 1 2/m 1'
_space_group_IT_number 12
loop_
_space_group_symop_operation_xyz
'x,y,z'
'-x,-y,-z'
'-x,y,-z'
'x,-y,z'
'x+1/2,y+1/2,z'
'-x+1/2,-y+1/2,-z'
'-x+1/2,y+1/2,-z'
'x+1/2,-y+1/2,z'
loop_
_atom_site_label
_atom_site_type_symbol
_atom_site_fract_x
_atom_site_fract_y
_atom_site_fract_z
Ca1 Ca 0.128 0.000 0.374
Ca2 Ca 0.209 0.500 0.124
```

---

No. 6
Here is a relaxed structure of CsAg5Te4 from Alexandria via LeMat-Bulk. Energies are from PBE.

Computed properties:
- ΔE_f (raw): -0.215 eV per atom
- Calculated volume: 301.6 Å³/f.u.
- Energy: -59.654 eV/cell

Structure (CIF):
```
data_CsAg5Te4
_chemical_formula_sum 'Cs2 Ag10 Te8'
_cell_length_a 11.056
_cell_length_b 4.911
_cell_length_c 15.581
_cell_angle_alpha 90.00
_cell_angle_beta 134.51
_cell_angle_gamma 90.00
_space_group_name_H-M_alt 'P 1 2/c 1'
_space_group_IT_number 13
loop_
_space_group_symop_operation_xyz
'x,y,z'
'-x,-y,-z'
'-x,y,-z+1/2'
'x,-y,z+1/2'
loop_
_atom_site_label
_atom_site_type_symbol
_atom_site_fract_x
_atom_site_fract_y
_atom_site_fract_z
Cs1 Cs 0.000 0.181 0.250
Ag1 Ag 0.161 0.154 0.594
Ag2 Ag 0.476 0.154 0.070
Ag3 Ag 0.500 0.499 0.750
Te1 Te 0.186 0.331 0.017
Te2 Te 0.346 0.331 0.831
```

---

No. 7
Here is a relaxed structure of AlGeH2S4 from Alexandria via LeMat-Bulk. Energies are from PBE.

Computed properties:
- Calculated volume: 162.4 Å³/f.u.
- Energy: -67.198 eV/cell

Structure (CIF):
```
data_AlGeH2S4
_chemical_formula_sum 'Al2 Ge2 H4 S8'
_cell_length_a 6.920
_cell_length_b 7.393
_cell_length_c 6.348
_cell_angle_alpha 90.00
_cell_angle_beta 90.00
_cell_angle_gamma 90.00
_space_group_name_H-M_alt 'P m n 21'
_space_group_IT_number 31
loop_
_space_group_symop_operation_xyz
'x,y,z'
'-x+1/2,-y,z+1/2'
'-x,y,z'
'x+1/2,-y,z+1/2'
loop_
_atom_site_label
_atom_site_type_symbol
_atom_site_fract_x
_atom_site_fract_y
_atom_site_fract_z
Al1 Al 0.000 0.150 0.000
Ge1 Ge 0.000 0.846 0.502
H1 H 0.250 0.147 0.627
S1 S 0.000 0.153 0.634
S2 S 0.000 0.853 0.116
S3 S 0.248 0.310 0.117
```

---

No. 8
Here is a relaxed structure of Np2GaB2Rh5 from Alexandria via LeMat-Bulk. Energies are from PBE.

Computed properties:
- Energy of formation from the pure elements: -478.4 meV per atom
- Calculated volume: 146.0 Å³/f.u.
- Energy: -167.608 eV/cell

Structure (CIF):
```
data_Np2GaB2Rh5
_chemical_formula_sum 'Np4 Ga2 B4 Rh10'
_cell_length_a 9.577
_cell_length_b 9.577
_cell_length_c 3.182
_cell_angle_alpha 90.00
_cell_angle_beta 90.00
_cell_angle_gamma 90.00
_space_group_name_H-M_alt 'P 4/m b m'
_space_group_IT_number 127
_space_group_name_Hall '-P 4 2ab'
loop_
_atom_site_label
_atom_site_type_symbol
_atom_site_fract_x
_atom_site_fract_y
_atom_site_fract_z
Np1 Np 0.177 0.323 0.000
Ga1 Ga 0.000 0.000 0.000
B1 B 0.122 0.622 0.000
Rh1 Rh 0.000 0.500 0.500
Rh2 Rh 0.068 0.780 0.500
```

---

No. 9
Here is a relaxed structure of MgBeB from Alexandria via LeMat-Bulk. Energies are from PBE.

Computed properties:
- Offset from the most stable computed form: 75 meV per atom
- Energy of formation from the pure elements: 78.5 meV per atom
- Calculated volume: 33.2 Å³/f.u.
- Energy: -47.051 eV/cell

Structure (CIF):
```
data_MgBeB
_chemical_formula_sum 'Mg4 Be4 B4'
_cell_length_a 8.808
_cell_length_b 3.338
_cell_length_c 5.689
_cell_angle_alpha 90.00
_cell_angle_beta 127.45
_cell_angle_gamma 90.00
_space_group_name_H-M_alt 'C 1 2/m 1'
_space_group_IT_number 12
loop_
_space_group_symop_operation_xyz
'x,y,z'
'-x,-y,-z'
'-x,y,-z'
'x,-y,z'
'x+1/2,y+1/2,z'
'-x+1/2,-y+1/2,-z'
'-x+1/2,y+1/2,-z'
'x+1/2,-y+1/2,z'
loop_
_atom_site_label
_atom_site_type_symbol
_atom_site_fract_x
_atom_site_fract_y
_atom_site_fract_z
Mg1 Mg 0.081 0.000 0.321
Be1 Be 0.231 0.500 0.096
B1 B 0.116 0.500 0.674
```

---

No. 10
Here is a relaxed structure of SrCrRe from Alexandria via LeMat-Bulk. Energies are from PBE.

Computed properties:
- Offset from the most stable computed form: 1605 meV per atom
- Energy of formation from the pure elements: 2268.5 meV per atom
- Calculated volume: 83.1 Å³/f.u.
- Energy: -67.791 eV/cell

Structure (CIF):
```
data_SrCrRe
_chemical_formula_sum 'Sr4 Cr4 Re4'
_cell_length_a 6.927
_cell_length_b 6.927
_cell_length_c 6.927
_cell_angle_alpha 90.00
_cell_angle_beta 90.00
_cell_angle_gamma 90.00
_space_group_name_H-M_alt 'F -4 3 m'
_space_group_IT_number 216
_space_group_name_Hall 'F -4 2 3'
loop_
_atom_site_label
_atom_site_type_symbol
_atom_site_fract_x
_atom_site_fract_y
_atom_site_fract_z
Sr1 Sr 0.000 0.000 0.000
Cr1 Cr 0.250 0.250 0.750
Re1 Re 0.250 0.250 0.250
```

---

No. 11
Here is a relaxed structure of WIBr3 from Alexandria via LeMat-Bulk. Energies are from PBE.

Computed properties:
- ΔE_f (raw): 0.317 eV per atom
- Offset from the most stable computed form: 554 meV per atom
- Calculated volume: 136.9 Å³/f.u.
- Energy: -17.937 eV/cell

Structure (CIF):
```
data_WIBr3
_chemical_formula_sum 'W1 I1 Br3'
_cell_length_a 5.154
_cell_length_b 5.154
_cell_length_c 5.154
_cell_angle_alpha 90.00
_cell_angle_beta 90.00
_cell_angle_gamma 90.00
_space_group_name_H-M_alt 'P m -3 m'
_space_group_IT_number 221
_space_group_name_Hall '-P 4 2 3'
loop_
_atom_site_label
_atom_site_type_symbol
_atom_site_fract_x
_atom_site_fract_y
_atom_site_fract_z
W1 W 0.000 0.000 0.000
I1 I 0.500 0.500 0.500
Br1 Br 0.000 0.000 0.500
```

---

No. 12
Here is a relaxed structure of Li3EuSi from Alexandria via LeMat-Bulk. Energies are from PBE.

Computed properties:
- ΔE_f (raw): -0.077 eV per atom
- Calculated volume: 114.2 Å³/f.u.
- Energy: -21.825 eV/cell

Structure (CIF):
```
data_Li3EuSi
_chemical_formula_sum 'Li3 Eu1 Si1'
_cell_length_a 4.851
_cell_length_b 4.851
_cell_length_c 4.851
_cell_angle_alpha 90.00
_cell_angle_beta 90.00
_cell_angle_gamma 90.00
_space_group_name_H-M_alt 'P m -3 m'
_space_group_IT_number 221
_space_group_name_Hall '-P 4 2 3'
loop_
_atom_site_label
_atom_site_type_symbol
_atom_site_fract_x
_atom_site_fract_y
_atom_site_fract_z
Li1 Li 0.000 0.000 0.500
Eu1 Eu 0.500 0.500 0.500
Si1 Si 0.000 0.000 0.000
```